No. 1
The following is a DFT calculation (PBE) of a geometry-optimized CdNi structure.

As for the total energy: -275.4 eV for the cell shown.

It has space group Fd-3m (No. 227, origin choice 2), with a = 11.985 Å, b = 11.985 Å, c = 11.985 Å, α = 90.00°, β = 90.00° and γ = 90.00°. The asymmetric unit holds Cd at (0.111, 0.375, 0.375), Ni at (0.000, 0.000, 0.000) and Ni at (0.053, 0.053, 0.697).


No. 2
The following is a DFT calculation (PBE) of a geometry-optimized PrGaFe3 structure.

As for the total energy: -133.1 eV for the cell shown.

It has space group Cmcm (No. 63), with a = 4.114 Å, b = 15.894 Å, c = 5.166 Å, α = 90.00°, β = 90.00° and γ = 90.00°. The asymmetric unit holds Pr at (0.000, 0.085, 0.250), Ga at (0.000, 0.432, 0.250), Fe at (0.000, 0.166, 0.750) and Fe at (0.000, 0.288, 0.022).


No. 3
The following is a DFT calculation (PBE) of a geometry-optimized LiErSnPd structure.

As for the total energy: -75.5 eV for the cell shown.

It has space group F-43m (No. 216), with a = 6.697 Å, b = 6.697 Å, c = 6.697 Å, α = 90.00°, β = 90.00° and γ = 90.00°. The asymmetric unit holds Li at (0.000, 0.000, 0.000), Er at (0.250, 0.250, 0.250), Sn at (0.250, 0.250, 0.750) and Pd at (0.000, 0.000, 0.500).


No. 4
The following is a DFT calculation (PBE) of a geometry-optimized CdCuSiPt structure.

As for the polymorph energy (0 for the lowest one): 0.0 kJ/mol of atoms.

It has space group F-43m (No. 216), with a = 6.287 Å, b = 6.287 Å, c = 6.287 Å, α = 90.00°, β = 90.00° and γ = 90.00°. The asymmetric unit holds Cd at (0.000, 0.000, 0.000), Cu at (0.250, 0.250, 0.750), Si at (0.000, 0.000, 0.500) and Pt at (0.250, 0.250, 0.250).